Material: K2V3ZnF12
Method: DFT, PBE+U
State: relaxed

Unit cell a=7.438 b=7.438 c=7.438 alpha=60.88 beta=60.88 gamma=60.88
Positions (direct):
K1 0.158 0.158 0.158
K2 0.842 0.842 0.842
V1 0.000 0.500 0.500
V2 0.500 0.000 0.500
V3 0.500 0.500 0.000
Zn1 0.500 0.500 0.500
F1 0.171 0.576 0.576
F2 0.182 0.182 0.567
F3 0.182 0.567 0.182
F4 0.424 0.424 0.829
F5 0.424 0.829 0.424
F6 0.433 0.818 0.818
F7 0.567 0.182 0.182
F8 0.576 0.171 0.576
F9 0.576 0.576 0.171
F10 0.818 0.433 0.818
F11 0.818 0.818 0.433
F12 0.829 0.424 0.424

## Properties
SG ... No. 166
Magnetic moment ... 7.00 μB per formula unit
VASP energy ... -5.440 eV per atom